Entry 1:
Below is an optimized crystal structure of V2Rh, with properties calculated at the PBE level.

Computed properties:
final energy	-0.32039	Ha/atom
density	8411	kg/m3
D(E_F)	3.7	states/eV/cell
E_form	-0.1887	eV per atom
total magnetic moment	0.00	μB per cell

a b c (Å): 4.854 4.854 4.854
angles (deg): 60.00 60.00 60.00
Element x y z (fractional)
1 V 0.625 0.125 0.625
2 V 0.625 0.625 0.125
3 V 0.625 0.625 0.625
4 V 0.125 0.625 0.625
5 Rh 0.000 0.000 0.000
6 Rh 0.250 0.250 0.250

---

Entry 2:
Below is an optimized crystal structure of VRh4, with properties calculated at the PBE level.

Computed properties:
final energy	-0.25904	Ha/atom
density	9028	kg/m3
polymorph energy (0 for the lowest one)	0	meV/atom
D(E_F)	7.7	states/eV/cell
E_form	0.6561	eV per atom
total magnetic moment	1.62	μB per cell

a b c (Å): 4.817 5.005 4.817
angles (deg): 118.77 90.00 118.77
Each line ends with the local moment (μB).
Element x y z (fractional)
1 Rh 0.250 0.500 0.750  -0.10
2 Rh 0.750 0.500 0.250  -0.10
3 Rh 0.663 0.325 0.663  -0.09
4 Rh 0.337 0.675 0.337  -0.09
5 V 0.000 0.000 0.000  1.71

---

Entry 3:
Below is an optimized crystal structure of V4Rh, with properties calculated at the PBE level.

Computed properties:
final energy	-0.27841	Ha/atom
density	5454	kg/m3
polymorph energy (0 for the lowest one)	1409	meV/atom
D(E_F)	8.4	states/eV/cell
E_form	1.1892	eV per atom
total magnetic moment	2.81	μB per cell

a b c (Å): 4.537 4.537 4.537
angles (deg): 90.00 90.00 90.00
Each line ends with the local moment (μB).
Element x y z (fractional)
1 V 0.500 0.500 0.000  -0.09
2 V 0.000 0.000 0.000  2.40
3 V 0.000 0.500 0.500  -0.09
4 V 0.500 0.000 0.500  -0.09
5 Rh 0.500 0.500 0.500  0.10

---

Entry 4:
Below is an optimized crystal structure of V13Rh3, with properties calculated at the PBE level.

Computed properties:
final energy	-0.33140	Ha/atom
density	7485	kg/m3
D(E_F)	12.9	states/eV/cell
E_form	-0.2306	eV per atom
total magnetic moment	0.00	μB per cell

a b c (Å): 5.996 5.996 5.992
angles (deg): 90.00 90.00 89.75
Element x y z (fractional)
1 V 0.500 0.998 0.251
2 V 0.500 0.998 0.749
3 V 0.749 0.752 0.000
4 V 0.256 0.744 0.000
5 V 0.496 0.504 0.253
6 V 0.248 0.251 0.000
7 V 0.747 0.253 0.500
8 V 0.002 0.500 0.749
9 V 0.496 0.504 0.747
10 V 0.258 0.257 0.500
11 V 0.002 0.500 0.251
12 V 0.743 0.742 0.500
13 V 0.254 0.746 0.500
14 Rh 0.006 0.994 0.255
15 Rh 0.735 0.265 0.000
16 Rh 0.006 0.994 0.745